Entry 1:
# PBE CeScBr6, optimized geometry
data_CeScBr6
_chemical_formula_sum 'Ce2 Sc2 Br12'
_cell_length_a 7.253
_cell_length_b 12.833
_cell_length_c 7.237
_cell_angle_alpha 90.00
_cell_angle_beta 94.22
_cell_angle_gamma 90.00
_space_group_name_H-M_alt 'C 1 2/m 1'
_space_group_IT_number 12
loop_
_space_group_symop_operation_xyz
'x,y,z'
'-x,-y,-z'
'-x,y,-z'
'x,-y,z'
'x+1/2,y+1/2,z'
'-x+1/2,-y+1/2,-z'
'-x+1/2,y+1/2,-z'
'x+1/2,-y+1/2,z'
loop_
_atom_site_label
_atom_site_type_symbol
_atom_site_fract_x
_atom_site_fract_y
_atom_site_fract_z
Ce1 Ce 0.000 0.000 0.000
Sc1 Sc 0.000 0.000 0.500
Br1 Br 0.147 0.144 0.286
Br2 Br 0.204 0.500 0.254
# Relative energy among the computed polymorphs (eV per atom): 0.000

---

Entry 2:
# PBE Ba2Ga6TcPt, optimized geometry
data_Ba2Ga6TcPt
_chemical_formula_sum 'Ba8 Ga24 Tc4 Pt4'
_cell_length_a 9.838
_cell_length_b 9.838
_cell_length_c 9.838
_cell_angle_alpha 90.00
_cell_angle_beta 90.00
_cell_angle_gamma 90.00
_space_group_name_H-M_alt 'F m -3 m'
_space_group_IT_number 225
_space_group_name_Hall '-F 4 2 3'
loop_
_atom_site_label
_atom_site_type_symbol
_atom_site_fract_x
_atom_site_fract_y
_atom_site_fract_z
Ba1 Ba 0.250 0.250 0.250
Ga1 Ga 0.000 0.000 0.248
Tc1 Tc 0.000 0.000 0.000
Pt1 Pt 0.000 0.000 0.500
# Total energy (eV per formula unit): -42.940

---

Entry 3:
# PBE SbPS, optimized geometry
data_SbPS
_chemical_formula_sum 'Sb4 P4 S4'
_cell_length_a 7.196
_cell_length_b 5.900
_cell_length_c 6.472
_cell_angle_alpha 90.00
_cell_angle_beta 90.00
_cell_angle_gamma 90.00
_space_group_name_H-M_alt 'I m a 2'
_space_group_IT_number 46
loop_
_space_group_symop_operation_xyz
'x,y,z'
'-x,-y,z'
'-x+1/2,y,z'
'x+1/2,-y,z'
'x+1/2,y+1/2,z+1/2'
'-x+1/2,-y+1/2,z+1/2'
'-x,y+1/2,z+1/2'
'x,-y+1/2,z+1/2'
loop_
_atom_site_label
_atom_site_type_symbol
_atom_site_fract_x
_atom_site_fract_y
_atom_site_fract_z
Sb1 Sb 0.000 0.000 0.000
P1 P 0.250 0.123 0.711
S1 S 0.250 0.629 0.979
# Relative energy among the computed polymorphs (eV per atom): 0.058

---

Entry 4:
# PBE Ac3Cd2AgHg6, optimized geometry
data_Ac3Cd2AgHg6
_chemical_formula_sum 'Ac3 Cd2 Ag1 Hg6'
_cell_length_a 6.4775
_cell_length_b 6.4775
_cell_length_c 9.6486
_cell_angle_alpha 90.00
_cell_angle_beta 90.00
_cell_angle_gamma 120.00
_space_group_name_H-M_alt 'P -3 m 1'
_space_group_IT_number 164
_space_group_name_Hall '-P 3 2"'
loop_
_atom_site_label
_atom_site_type_symbol
_atom_site_fract_x
_atom_site_fract_y
_atom_site_fract_z
Ac1 Ac 0.0000 0.0000 0.0000
Ac2 Ac 0.3333 0.6667 0.6106
Cd1 Cd 0.3333 0.6667 0.9867
Ag1 Ag 0.0000 0.0000 0.5000
Hg1 Hg 0.1760 0.3519 0.2747
# Total energy (eV per formula unit): -21.662

---

Entry 5:
# PBE NaPrHo, optimized geometry
data_NaPrHo
_chemical_formula_sum 'Na8 Pr8 Ho8'
_cell_length_a 6.553
_cell_length_b 11.059
_cell_length_c 11.833
_cell_angle_alpha 90.00
_cell_angle_beta 90.00
_cell_angle_gamma 90.00
_space_group_name_H-M_alt 'F m m m'
_space_group_IT_number 69
_space_group_name_Hall '-F 2 2'
loop_
_atom_site_label
_atom_site_type_symbol
_atom_site_fract_x
_atom_site_fract_y
_atom_site_fract_z
Na1 Na 0.000 0.000 0.132
Pr1 Pr 0.000 0.173 0.500
Ho1 Ho 0.250 0.250 0.250
# Relative energy among the computed polymorphs (eV per atom): 0.281

---

Entry 6:
# PBE In2WI, optimized geometry
data_In2WI
_chemical_formula_sum 'In8 W4 I4'
_cell_length_a 5.131
_cell_length_b 5.131
_cell_length_c 18.995
_cell_angle_alpha 90.00
_cell_angle_beta 90.00
_cell_angle_gamma 90.00
_space_group_name_H-M_alt 'I -4 2 d'
_space_group_IT_number 122
_space_group_name_Hall 'I -4 2bw'
loop_
_atom_site_label
_atom_site_type_symbol
_atom_site_fract_x
_atom_site_fract_y
_atom_site_fract_z
In1 In 0.146 0.250 0.125
W1 W 0.000 0.000 0.000
I1 I 0.000 0.000 0.500
# Relative energy among the computed polymorphs (eV per atom): 0.000

---

Entry 7:
# PBE Na3YPu2S6, optimized geometry
data_Na3YPu2S6
_chemical_formula_sum 'Na6 Y2 Pu4 S12'
_cell_length_a 6.971
_cell_length_b 12.075
_cell_length_c 7.039
_cell_angle_alpha 90.00
_cell_angle_beta 109.27
_cell_angle_gamma 90.00
_space_group_name_H-M_alt 'C 1 2/m 1'
_space_group_IT_number 12
loop_
_space_group_symop_operation_xyz
'x,y,z'
'-x,-y,-z'
'-x,y,-z'
'x,-y,z'
'x+1/2,y+1/2,z'
'-x+1/2,-y+1/2,-z'
'-x+1/2,y+1/2,-z'
'x+1/2,-y+1/2,z'
loop_
_atom_site_label
_atom_site_type_symbol
_atom_site_fract_x
_atom_site_fract_y
_atom_site_fract_z
Na1 Na 0.000 0.000 0.000
Na2 Na 0.000 0.333 0.000
Y1 Y 0.000 0.500 0.500
Pu1 Pu 0.000 0.167 0.500
S1 S 0.242 0.334 0.727
S2 S 0.243 0.000 0.727
# Total energy (eV per formula unit): -83.525

---

Entry 8:
# PBE CsZnInF6, optimized geometry
data_CsZnInF6
_chemical_formula_sum 'Cs4 Zn4 In4 F24'
_cell_length_a 7.548
_cell_length_b 7.898
_cell_length_c 10.952
_cell_angle_alpha 90.00
_cell_angle_beta 90.00
_cell_angle_gamma 90.00
_space_group_name_H-M_alt 'I m m a'
_space_group_IT_number 74
_space_group_name_Hall '-I 2b 2'
loop_
_atom_site_label
_atom_site_type_symbol
_atom_site_fract_x
_atom_site_fract_y
_atom_site_fract_z
Cs1 Cs 0.000 0.250 0.097
Zn1 Zn 0.250 0.250 0.750
In1 In 0.000 0.000 0.500
F1 F 0.000 0.250 0.422
F2 F 0.000 0.250 0.809
F3 F 0.205 0.059 0.621
# Total energy (eV per formula unit): -39.222

---

Entry 9:
# PBE Mn2CoOs, optimized geometry
data_Mn2CoOs
_chemical_formula_sum 'Mn4 Co2 Os2'
_cell_length_a 3.633
_cell_length_b 3.633
_cell_length_c 7.288
_cell_angle_alpha 90.00
_cell_angle_beta 90.00
_cell_angle_gamma 90.00
_space_group_name_H-M_alt 'I -4 m 2'
_space_group_IT_number 119
_space_group_name_Hall 'I -4 -2'
loop_
_atom_site_label
_atom_site_type_symbol
_atom_site_fract_x
_atom_site_fract_y
_atom_site_fract_z
Mn1 Mn 0.000 0.000 0.000
Mn2 Mn 0.000 0.500 0.250
Co1 Co 0.000 0.000 0.500
Os1 Os 0.000 0.500 0.750
# Total energy (eV per formula unit): -36.651

---

Entry 10:
# PBE Ce3PmIr3, optimized geometry
data_Ce3PmIr3
_chemical_formula_sum 'Ce12 Pm4 Ir12'
_cell_length_a 9.021
_cell_length_b 10.576
_cell_length_c 7.100
_cell_angle_alpha 90.00
_cell_angle_beta 90.91
_cell_angle_gamma 90.00
_space_group_name_H-M_alt 'C 1 2/m 1'
_space_group_IT_number 12
loop_
_space_group_symop_operation_xyz
'x,y,z'
'-x,-y,-z'
'-x,y,-z'
'x,-y,z'
'x+1/2,y+1/2,z'
'-x+1/2,-y+1/2,-z'
'-x+1/2,y+1/2,-z'
'x+1/2,-y+1/2,z'
loop_
_atom_site_label
_atom_site_type_symbol
_atom_site_fract_x
_atom_site_fract_y
_atom_site_fract_z
Ce1 Ce 0.000 0.185 0.000
Ce2 Ce 0.000 0.244 0.500
Ce3 Ce 0.149 0.500 0.112
Pm1 Pm 0.244 0.500 0.621
Ir1 Ir 0.063 0.000 0.711
Ir2 Ir 0.243 0.274 0.264
# Total energy (eV per formula unit): -53.272

---

Entry 11:
# PBE KCa2BiRh, optimized geometry
data_KCa2BiRh
_chemical_formula_sum 'K1 Ca2 Bi1 Rh1'
_cell_length_a 5.591
_cell_length_b 5.591
_cell_length_c 5.344
_cell_angle_alpha 90.00
_cell_angle_beta 90.00
_cell_angle_gamma 90.00
_space_group_name_H-M_alt 'P 4/m m m'
_space_group_IT_number 123
_space_group_name_Hall '-P 4 2'
loop_
_atom_site_label
_atom_site_type_symbol
_atom_site_fract_x
_atom_site_fract_y
_atom_site_fract_z
K1 K 0.000 0.000 0.000
Ca1 Ca 0.000 0.500 0.500
Bi1 Bi 0.500 0.500 0.000
Rh1 Rh 0.500 0.500 0.500
# Total energy (eV per formula unit): -17.888

---

Entry 12:
# PBE HoPa2PtN5, optimized geometry
data_HoPa2PtN5
_chemical_formula_sum 'Ho4 Pa8 Pt4 N20'
_cell_length_a 3.469
_cell_length_b 13.164
_cell_length_c 10.519
_cell_angle_alpha 90.00
_cell_angle_beta 90.00
_cell_angle_gamma 90.00
_space_group_name_H-M_alt 'C m c 21'
_space_group_IT_number 36
loop_
_space_group_symop_operation_xyz
'x,y,z'
'-x,-y,z+1/2'
'-x,y,z'
'x,-y,z+1/2'
'x+1/2,y+1/2,z'
'-x+1/2,-y+1/2,z+1/2'
'-x+1/2,y+1/2,z'
'x+1/2,-y+1/2,z+1/2'
loop_
_atom_site_label
_atom_site_type_symbol
_atom_site_fract_x
_atom_site_fract_y
_atom_site_fract_z
Ho1 Ho 0.000 0.200 0.000
Pa1 Pa 0.000 0.103 0.682
Pa2 Pa 0.000 0.142 0.293
Pt1 Pt 0.000 0.477 0.450
N1 N 0.000 0.050 0.096
N2 N 0.000 0.277 0.674
N3 N 0.000 0.327 0.353
N4 N 0.000 0.371 0.003
N5 N 0.000 0.480 0.767
# Total energy (eV per formula unit): -80.607

---

Entry 13:
# PBE CeSmAs, optimized geometry
data_CeSmAs
_chemical_formula_sum 'Ce1 Sm1 As1'
_cell_length_a 4.0226
_cell_length_b 4.0226
_cell_length_c 6.6609
_cell_angle_alpha 90.00
_cell_angle_beta 90.00
_cell_angle_gamma 120.00
_space_group_name_H-M_alt 'P 3 m 1'
_space_group_IT_number 156
loop_
_space_group_symop_operation_xyz
'x,y,z'
'-y,x-y,z'
'-x+y,-x,z'
'-y,-x,z'
'-x+y,y,z'
'x,x-y,z'
loop_
_atom_site_label
_atom_site_type_symbol
_atom_site_fract_x
_atom_site_fract_y
_atom_site_fract_z
Ce1 Ce 0.0000 0.0000 0.0000
Sm1 Sm 0.6667 0.3333 0.4701
As1 As 0.3333 0.6667 0.7365
# Total energy (eV per formula unit): -17.598

---

Entry 14:
# PBE TaAlBr, optimized geometry
data_TaAlBr
_chemical_formula_sum 'Ta2 Al2 Br2'
_cell_length_a 3.153
_cell_length_b 4.181
_cell_length_c 10.967
_cell_angle_alpha 90.00
_cell_angle_beta 97.81
_cell_angle_gamma 90.00
_space_group_name_H-M_alt 'P 1 21/m 1'
_space_group_IT_number 11
loop_
_space_group_symop_operation_xyz
'x,y,z'
'-x,-y,-z'
'-x,y+1/2,-z'
'x,-y+1/2,z'
loop_
_atom_site_label
_atom_site_type_symbol
_atom_site_fract_x
_atom_site_fract_y
_atom_site_fract_z
Ta1 Ta 0.071 0.250 0.151
Al1 Al 0.466 0.250 0.927
Br1 Br 0.338 0.750 0.657
# Relative energy among the computed polymorphs (eV per atom): 0.000

---

Entry 15:
# PBE Na3I, optimized geometry
data_Na3I
_chemical_formula_sum 'Na6 I2'
_cell_length_a 4.645
_cell_length_b 4.645
_cell_length_c 14.124
_cell_angle_alpha 90.00
_cell_angle_beta 90.00
_cell_angle_gamma 90.00
_space_group_name_H-M_alt 'I 4/m m m'
_space_group_IT_number 139
_space_group_name_Hall '-I 4 2'
loop_
_atom_site_label
_atom_site_type_symbol
_atom_site_fract_x
_atom_site_fract_y
_atom_site_fract_z
Na1 Na 0.000 0.000 0.000
Na2 Na 0.000 0.500 0.250
I1 I 0.000 0.000 0.500
# Relative energy among the computed polymorphs (eV per atom): 0.051

---

Entry 16:
# PBE PrH, optimized geometry
data_PrH
_chemical_formula_sum 'Pr4 H4'
_cell_length_a 5.184
_cell_length_b 5.184
_cell_length_c 5.184
_cell_angle_alpha 90.00
_cell_angle_beta 90.00
_cell_angle_gamma 90.00
_space_group_name_H-M_alt 'F m -3 m'
_space_group_IT_number 225
_space_group_name_Hall '-F 4 2 3'
loop_
_atom_site_label
_atom_site_type_symbol
_atom_site_fract_x
_atom_site_fract_y
_atom_site_fract_z
Pr1 Pr 0.000 0.000 0.000
H1 H 0.000 0.000 0.500
# Total energy (eV per formula unit): -8.927

---

Entry 17:
# PBE Na3Cd2Ag4, optimized geometry
data_Na3Cd2Ag4
_chemical_formula_sum 'Na6 Cd4 Ag8'
_cell_length_a 8.438
_cell_length_b 4.876
_cell_length_c 9.209
_cell_angle_alpha 90.00
_cell_angle_beta 90.08
_cell_angle_gamma 90.00
_space_group_name_H-M_alt 'C 1 2/m 1'
_space_group_IT_number 12
loop_
_space_group_symop_operation_xyz
'x,y,z'
'-x,-y,-z'
'-x,y,-z'
'x,-y,z'
'x+1/2,y+1/2,z'
'-x+1/2,-y+1/2,-z'
'-x+1/2,y+1/2,-z'
'x+1/2,-y+1/2,z'
loop_
_atom_site_label
_atom_site_type_symbol
_atom_site_fract_x
_atom_site_fract_y
_atom_site_fract_z
Na1 Na 0.000 0.000 0.000
Na2 Na 0.167 0.500 0.440
Cd1 Cd 0.167 0.500 0.790
Ag1 Ag 0.000 0.000 0.333
Ag2 Ag 0.167 0.500 0.116
# Total energy (eV per formula unit): -17.512

---

Entry 18:
# PBE AgSeIN2, optimized geometry
data_AgSeIN2
_chemical_formula_sum 'Ag1 Se1 I1 N2'
_cell_length_a 3.943
_cell_length_b 3.943
_cell_length_c 6.369
_cell_angle_alpha 90.00
_cell_angle_beta 90.00
_cell_angle_gamma 90.00
_space_group_name_H-M_alt 'P 4/m m m'
_space_group_IT_number 123
_space_group_name_Hall '-P 4 2'
loop_
_atom_site_label
_atom_site_type_symbol
_atom_site_fract_x
_atom_site_fract_y
_atom_site_fract_z
Ag1 Ag 0.000 0.000 0.000
Se1 Se 0.500 0.500 0.000
I1 I 0.500 0.500 0.500
N1 N 0.000 0.500 0.500
# Relative energy among the computed polymorphs (eV per atom): 0.271

---

Entry 19:
# PBE AcNi6Ge12, optimized geometry
data_AcNi6Ge12
_chemical_formula_sum 'Ac3 Ni18 Ge36'
_cell_length_a 11.5693
_cell_length_b 11.5693
_cell_length_c 8.2913
_cell_angle_alpha 90.00
_cell_angle_beta 90.00
_cell_angle_gamma 120.00
_space_group_name_H-M_alt 'R -3 m'
_space_group_IT_number 166
_space_group_name_Hall '-R 3 2"'
loop_
_atom_site_label
_atom_site_type_symbol
_atom_site_fract_x
_atom_site_fract_y
_atom_site_fract_z
Ac1 Ac 0.0000 0.0000 0.0000
Ni1 Ni 0.0437 0.5219 0.2455
Ge1 Ge 0.0000 0.3814 0.5000
Ge2 Ge 0.0910 0.1819 0.3205
# Total energy (eV per formula unit): -96.788

---

Entry 20:
# PBE Y2AsI, optimized geometry
data_Y2AsI
_chemical_formula_sum 'Y6 As3 I3'
_cell_length_a 4.1281
_cell_length_b 4.1281
_cell_length_c 22.6313
_cell_angle_alpha 90.00
_cell_angle_beta 90.00
_cell_angle_gamma 120.00
_space_group_name_H-M_alt 'R 3 m'
_space_group_IT_number 160
_space_group_name_Hall 'R 3 -2"'
loop_
_atom_site_label
_atom_site_type_symbol
_atom_site_fract_x
_atom_site_fract_y
_atom_site_fract_z
Y1 Y 0.0000 0.0000 0.0000
Y2 Y 0.0000 0.0000 0.2012
As1 As 0.0000 0.0000 0.6024
I1 I 0.0000 0.0000 0.4327
# Total energy (eV per formula unit): -24.032

---

Entry 21:
# PBE Pr2P3Pd3, optimized geometry
data_Pr2P3Pd3
_chemical_formula_sum 'Pr4 P6 Pd6'
_cell_length_a 6.9185
_cell_length_b 6.9185
_cell_length_c 8.4718
_cell_angle_alpha 90.00
_cell_angle_beta 90.00
_cell_angle_gamma 120.00
_space_group_name_H-M_alt 'P 63/m c m'
_space_group_IT_number 193
_space_group_name_Hall '-P 6c 2'
loop_
_atom_site_label
_atom_site_type_symbol
_atom_site_fract_x
_atom_site_fract_y
_atom_site_fract_z
Pr1 Pr 0.3333 0.6667 0.0000
P1 P 0.0000 0.3825 0.2500
Pd1 Pd 0.0000 0.2693 0.7500
# Total energy (eV per formula unit): -48.957

---

Entry 22:
# PBE CaBS2N, optimized geometry
data_CaBS2N
_chemical_formula_sum 'Ca1 B1 S2 N1'
_cell_length_a 5.290
_cell_length_b 5.290
_cell_length_c 2.735
_cell_angle_alpha 90.00
_cell_angle_beta 90.00
_cell_angle_gamma 90.00
_space_group_name_H-M_alt 'P 4/m m m'
_space_group_IT_number 123
_space_group_name_Hall '-P 4 2'
loop_
_atom_site_label
_atom_site_type_symbol
_atom_site_fract_x
_atom_site_fract_y
_atom_site_fract_z
Ca1 Ca 0.000 0.000 0.000
B1 B 0.500 0.500 0.500
S1 S 0.000 0.500 0.500
N1 N 0.500 0.500 0.000
# Relative energy among the computed polymorphs (eV per atom): 0.000

---

Entry 23:
# PBE TaCrPCl2, optimized geometry
data_TaCrPCl2
_chemical_formula_sum 'Ta1 Cr1 P1 Cl2'
_cell_length_a 4.791
_cell_length_b 4.791
_cell_length_c 4.971
_cell_angle_alpha 90.00
_cell_angle_beta 90.00
_cell_angle_gamma 90.00
_space_group_name_H-M_alt 'P 4/m m m'
_space_group_IT_number 123
_space_group_name_Hall '-P 4 2'
loop_
_atom_site_label
_atom_site_type_symbol
_atom_site_fract_x
_atom_site_fract_y
_atom_site_fract_z
Ta1 Ta 0.000 0.000 0.000
Cr1 Cr 0.500 0.500 0.500
P1 P 0.000 0.000 0.500
Cl1 Cl 0.000 0.500 0.000
# Relative energy among the computed polymorphs (eV per atom): 0.000